(1)
VASP calculation (PBE-GGA) on crystalline Ta2PbO2 at its relaxed geometry.

Unit cell a=7.4040 b=7.4040 c=2.8406 alpha=90.00 beta=90.00 gamma=90.00
Element x y z (fractional)
Pb 0.0000 0.0000 0.0000
Pb 0.5000 0.5000 0.0000
O 0.3898 0.8898 0.0000
O 0.8898 0.6102 0.0000
O 0.6102 0.1102 0.0000
O 0.1102 0.3898 0.0000
Ta 0.1262 0.6262 0.5000
Ta 0.6262 0.8738 0.5000
Ta 0.8738 0.3738 0.5000
Ta 0.3738 0.1262 0.5000

Properties
**Fermi-level density of states**: 3.10 states/eV/f.u.
**Formation energy without anion corrections**: -429 meV per atom
**Total DFT energy (no corrections)**: -7.8951 eV/atom
**E above lowest polymorph**: 685 meV per atom



(2)
VASP calculation (PBE-GGA) on crystalline Ta3PbO9 at its relaxed geometry.

Unit cell a=5.4995 b=7.6489 c=8.4083 alpha=90.00 beta=92.00 gamma=90.00
Element x y z (fractional)
Ta 0.0000 0.0000 0.0000
Ta 0.0000 0.5000 0.0000
Ta 0.4751 0.4950 0.7005
Ta 0.4751 0.0050 0.7005
Ta 0.5249 0.9950 0.2995
Ta 0.5249 0.5050 0.2995
Pb 0.0346 0.2500 0.4437
Pb 0.9654 0.7500 0.5563
O 0.0785 0.2500 0.9839
O 0.1685 0.9463 0.7951
O 0.1685 0.5537 0.7951
O 0.2716 0.9645 0.4739
O 0.2716 0.5355 0.4739
O 0.3705 0.2500 0.6666
O 0.3080 0.9572 0.1276
O 0.3080 0.5428 0.1276
O 0.4362 0.2500 0.3158
O 0.5638 0.7500 0.6842
O 0.6920 0.0428 0.8724
O 0.6920 0.4572 0.8724
O 0.6295 0.7500 0.3334
O 0.7284 0.0355 0.5261
O 0.7284 0.4645 0.5261
O 0.8315 0.0537 0.2049
O 0.8315 0.4463 0.2049
O 0.9215 0.7500 0.0161

Properties
**Fermi-level density of states**: 4.65 states/eV/f.u.
**Formation energy without anion corrections**: -2467 meV per atom
**Total DFT energy (no corrections)**: -8.9200 eV/atom